VASP calculation (PBEsol) on a relaxed Ta2GaCo3 crystal.

POSCAR file:
```
Ta2GaCo3
1.0
4.832 0.000 0.000
-2.416 4.185 0.000
0.000 0.000 7.560
Ta Ga Co
4 2 6
Cartesian
0.000 2.790 0.462 Ta
0.000 2.790 3.318 Ta
2.416 1.395 4.242 Ta
2.416 1.395 7.098 Ta
0.000 0.000 0.000 Ga
0.000 0.000 3.780 Ga
0.000 1.442 5.670 Co
-1.168 3.464 5.670 Co
1.248 0.721 1.890 Co
1.168 3.464 5.670 Co
3.583 0.721 1.890 Co
2.416 2.743 1.890 Co
```

DOS(E_F): 7.27 states/eV/f.u.
Calculated formation energy: -335 meV/atom
Total energy: -8.944 eV/atom